GGA-PBE CaZrSiO5, optimized geometry; volume = 13.3 Å³ per atom; total energy = -8.2210 eV per atom; uncorrected formation energy = -3.1255 eV/atom; total magnetization = 0.00 μB/cell; DOS(E_F) = 0.00 states/eV/atom
1.0
3.423 -4.511 0.000
3.423 4.511 0.000
-2.980 0.000 6.880
Ca Zr Si O
2 2 2 10
Cartesian
1.188 3.021 5.160 Ca
2.678 -3.021 1.720 Ca
3.423 0.000 0.000 Zr
1.933 0.000 3.440 Zr
2.678 2.899 1.720 Si
1.188 -2.899 5.160 Si
-1.508 0.581 6.227 O
1.597 1.943 2.536 O
-0.018 -0.581 2.787 O
3.759 1.943 0.904 O
1.188 0.794 5.160 O
2.678 -0.794 1.720 O
0.107 -1.943 5.976 O
3.883 0.581 4.092 O
2.269 -1.943 4.344 O
5.373 -0.581 0.652 O